The following is a DFT calculation (PBE) of a geometry-optimized Cd7Sn3Hg2 structure.

Cell: 3.5498 4.9197 17.3961 Å, 90.93 90.00 90.00°
Last column: nearest neighbours and their distance in Å.
Fractional positions:
1 Cd 0.5000 0.7492 0.4577  2 Cd 2.85-2.88, 1 Hg 2.91
2 Cd 0.5000 0.2508 0.5423  2 Cd 2.85-2.88, 1 Hg 2.91
3 Cd 0.0000 0.7091 0.1504  5 Cd 3.00-3.08, 2 Hg 3.02, 2 Sn 3.31
4 Cd 0.0000 0.0000 0.0000  2 Cd 3.00, 4 Sn 3.03
5 Cd 0.0000 0.2909 0.8496  5 Cd 3.00-3.08, 2 Hg 3.02, 2 Sn 3.31
6 Cd 0.5000 0.7857 0.8228  4 Cd 3.05-3.08, 2 Hg 3.08-3.23, 1 Sn 3.41
7 Cd 0.5000 0.2143 0.1772  4 Cd 3.05-3.08, 2 Hg 3.08-3.23, 1 Sn 3.41
8 Sn 0.5000 0.5000 0.0000  8 Cd 3.03-3.31
9 Sn 0.0000 0.2551 0.3765  6 Cd 3.31-3.39, 4 Hg 3.35-3.42, 2 Sn 3.55
10 Sn 0.0000 0.7449 0.6235  6 Cd 3.31-3.39, 4 Hg 3.35-3.42, 2 Sn 3.55
11 Hg 0.5000 0.7402 0.2907  5 Cd 2.91-3.23
12 Hg 0.5000 0.2598 0.7093  5 Cd 2.91-3.23

Properties
The calculation puts the formation energy at 0.08 eV/atom. The space group is No. 10.

***

The following is a DFT calculation (PBE) of a geometry-optimized LiV2S2 structure.

Cell: 3.5406 3.5406 6.9473 Å, 75.24 75.24 90.00°
Last column: nearest neighbours and their distance in Å.
Fractional positions:
1 S 0.3742 0.3742 0.2516  4 V 2.39
2 S 0.6258 0.6258 0.7484  4 V 2.39
3 V 0.7500 0.2500 0.5000  4 S 2.39, 4 V 2.50
4 V 0.2500 0.7500 0.5000  4 S 2.39, 4 V 2.50
5 Li 0.0000 0.0000 0.0000  8 S 2.99

Properties
Its energy above the lowest structure with this stoichiometry is 0 meV/atom. The uncorrected formation energy comes out at -398 kJ/mol of formula units. The space group is No. 139.

***

The following is a DFT calculation (PBE) of a geometry-optimized Tl3BiMo structure.

Cell: 5.4690 5.4690 5.4690 Å, 90.00 90.00 90.00°
Last column: nearest neighbours and their distance in Å.
Fractional positions:
1 Mo 0.0000 0.0000 0.0000  6 Tl 2.73
2 Tl 0.0000 0.5000 0.0000  2 Mo 2.73
3 Tl 0.0000 0.0000 0.5000  2 Mo 2.73
4 Tl 0.5000 0.0000 0.0000  2 Mo 2.73
5 Bi 0.5000 0.5000 0.5000  12 Tl 3.87

Properties
The calculation puts the formation energy at 0.76 eV/atom. Its energy above the lowest structure with this stoichiometry is 0 meV/atom. The space group is No. 221.

***

The following is a DFT calculation (PBE) of a geometry-optimized Li3MgNp2S6 structure.

Cell: 3.8767 7.5643 8.4774 Å, 102.06 103.22 90.00°
Last column: nearest neighbours and their distance in Å.
Fractional positions:
1 Li 0.5000 0.5000 0.0000  6 S 2.71-2.75
2 Li 0.8382 0.1690 0.6763  6 S 2.58-2.78
3 Li 0.1618 0.8310 0.3237  6 S 2.58-2.78
4 Mg 0.5000 0.0000 0.0000  6 S 2.67
5 Np 0.8377 0.6786 0.6755  6 S 2.65-2.74
6 Np 0.1623 0.3214 0.3245  6 S 2.65-2.74
7 S 0.3343 0.9244 0.6686  3 Li 2.67-2.78, 1 Mg 2.67, 2 Np 2.69
8 S 0.6681 0.5780 0.3361  3 Li 2.71-2.74, 3 Np 2.73-2.74
9 S 0.6657 0.0756 0.3314  3 Li 2.67-2.78, 1 Mg 2.67, 2 Np 2.69
10 S 0.9981 0.2412 0.9962  3 Li 2.58-2.75, 1 Np 2.65, 2 Mg 2.67
11 S 0.0019 0.7588 0.0038  3 Li 2.58-2.75, 1 Np 2.65, 2 Mg 2.67
12 S 0.3319 0.4220 0.6639  3 Li 2.71-2.74, 3 Np 2.73-2.74

Properties
The uncorrected formation energy comes out at -1575 kJ/mol of formula units. The space group is No. 12.

***

The following is a DFT calculation (PBE) of a geometry-optimized BaRhW structure.

Cell: 3.1158 3.1158 7.8051 Å, 90.00 90.00 120.00°
Last column: nearest neighbours and their distance in Å.
Fractional positions:
1 Ba 0.0000 0.0000 0.0045  6 Ba 3.12, 3 Rh 3.43
2 Rh 0.6667 0.3333 0.3782  3 W 2.59
3 W 0.3333 0.6667 0.6173  3 Rh 2.59

Properties
The calculation puts the formation energy at 0.95 eV/atom. Its energy above the lowest structure with this stoichiometry is 424 meV/atom. The space group is No. 156.